Here is Er2MgOs2 after structural relaxation from the Alexandria database. Energies are from PBE.

```
10
Lattice="4.824 -2.732 0.000 4.824 2.732 0.000 -2.324 0.000 7.960" Properties=species:S:1:pos:R:3 pbc="T T T"
Er 1.399 1.908 6.769
Er 4.763 1.908 5.171
Er 2.561 -1.908 2.789
Er 5.925 -1.908 1.191
Mg 4.243 0.818 1.990
Mg 3.081 -0.818 5.970
Os 2.339 0.799 3.914
Os 6.147 0.799 0.066
Os 1.177 -0.799 7.894
Os 4.984 -0.799 4.047
```

Summary:
**SG**: No. 15
**ΔE_f**: -0.164 eV per atom
**Total energy**: -6.7999 eV/atom

=====

Here is Er6MgOs after structural relaxation from the Alexandria database. Energies are from PBE.

```
8
Lattice="6.845 0.000 0.000 -3.420 5.953 0.000 -3.397 -1.984 6.256" Properties=species:S:1:pos:R:3 pbc="T T T"
Er -0.806 -0.033 1.601
Er -1.322 3.700 1.597
Er -2.138 1.676 4.658
Er 2.167 2.293 1.598
Er 1.350 0.269 4.659
Er 0.835 4.002 4.655
Mg 3.423 0.000 0.000
Os 0.014 1.984 3.128
```

Summary:
**SG**: No. 2
**ΔE_f**: 0.151 eV per atom
**Total energy**: -4.8745 eV/atom

=====

Here is Er6Mg2Os after structural relaxation from the Alexandria database. Energies are from PBE.

```
9
Lattice="-2.736 4.245 5.527 2.736 -4.245 5.527 2.736 4.245 -5.527" Properties=species:S:1:pos:R:3 pbc="T T T"
Er 2.736 2.279 -1.710
Er 0.000 1.497 0.000
Er 2.736 2.279 1.710
Er 0.000 1.966 3.817
Er 0.000 6.993 0.000
Er 0.000 1.966 7.237
Mg 2.736 0.000 3.975
Mg 0.000 4.245 1.552
Os 2.736 0.000 0.000
```

Summary:
**SG**: No. 71
**Offset from the most stable computed form**: 0.213 eV per atom
**ΔE_f**: 0.127 eV per atom
**Total energy**: -4.5173 eV/atom

=====

Here is PmErMgOs after structural relaxation from the Alexandria database. Energies are from PBE.

```
4
Lattice="3.414 0.000 0.000 0.000 3.414 0.000 0.000 0.000 8.634" Properties=species:S:1:pos:R:3 pbc="T T T"
Pm 0.000 0.000 0.000
Er 0.000 0.000 5.261
Mg 1.707 1.707 2.707
Os 1.707 1.707 6.865
```

Summary:
**SG**: No. 99
**Offset from the most stable computed form**: 0.000 eV per atom
**ΔE_f**: -0.152 eV per atom
**Total energy**: -5.6869 eV/atom

=====

Here is PmErMgOs after structural relaxation from the Alexandria database. Energies are from PBE.

```
16
Lattice="7.124 0.000 0.000 0.000 7.124 0.000 0.000 0.000 7.124" Properties=species:S:1:pos:R:3 pbc="T T T"
Pm 0.000 0.000 0.000
Pm 0.000 3.562 3.562
Pm 3.562 0.000 3.562
Pm 3.562 3.562 0.000
Er 0.000 0.000 3.562
Er 0.000 3.562 0.000
Er 3.562 0.000 0.000
Er 3.562 3.562 3.562
Mg 1.781 1.781 5.343
Mg 1.781 5.343 1.781
Mg 5.343 1.781 1.781
Mg 5.343 5.343 5.343
Os 1.781 1.781 1.781
Os 1.781 5.343 5.343
Os 5.343 1.781 5.343
Os 5.343 5.343 1.781
```

Summary:
**SG**: No. 216
**Offset from the most stable computed form**: 0.060 eV per atom
**ΔE_f**: -0.093 eV per atom
**Total energy**: -5.6272 eV/atom

=====

Here is PrErMgOs after structural relaxation from the Alexandria database. Energies are from PBE.

```
16
Lattice="7.178 0.000 0.000 0.000 7.178 0.000 0.000 0.000 7.178" Properties=species:S:1:pos:R:3 pbc="T T T"
Pr 0.000 0.000 0.000
Pr 0.000 3.589 3.589
Pr 3.589 0.000 3.589
Pr 3.589 3.589 0.000
Er 0.000 0.000 3.589
Er 0.000 3.589 0.000
Er 3.589 0.000 0.000
Er 3.589 3.589 3.589
Mg 1.795 1.795 5.384
Mg 1.795 5.384 1.795
Mg 5.384 1.795 1.795
Mg 5.384 5.384 5.384
Os 1.795 1.795 1.795
Os 1.795 5.384 5.384
Os 5.384 1.795 5.384
Os 5.384 5.384 1.795
```

Summary:
**SG**: No. 216
**ΔE_f**: -0.048 eV per atom
**Total energy**: -5.5898 eV/atom

=====

Here is ErPuMgOs after structural relaxation from the Alexandria database. Energies are from PBE.

```
16
Lattice="7.012 0.000 0.000 0.000 7.012 0.000 0.000 0.000 7.012" Properties=species:S:1:pos:R:3 pbc="T T T"
Er 0.000 0.000 0.000
Er 0.000 3.506 3.506
Er 3.506 0.000 3.506
Er 3.506 3.506 0.000
Pu 0.000 0.000 3.506
Pu 0.000 3.506 0.000
Pu 3.506 0.000 0.000
Pu 3.506 3.506 3.506
Mg 1.753 1.753 5.259
Mg 1.753 5.259 1.753
Mg 5.259 1.753 1.753
Mg 5.259 5.259 5.259
Os 1.753 1.753 1.753
Os 1.753 5.259 5.259
Os 5.259 1.753 5.259
Os 5.259 5.259 1.753
```

Summary:
**SG**: No. 216
**ΔE_f**: 0.001 eV per atom
**Total energy**: -7.9290 eV/atom

=====

Here is ErTmMgOs after structural relaxation from the Alexandria database. Energies are from PBE.

```
4
Lattice="3.405 0.000 0.000 0.000 3.405 0.000 0.000 0.000 8.072" Properties=species:S:1:pos:R:3 pbc="T T T"
Er 0.000 0.000 0.000
Tm 0.000 0.000 4.821
Mg 1.702 1.702 2.427
Os 1.702 1.702 6.435
```

Summary:
**SG**: No. 99
**Offset from the most stable computed form**: 0.000 eV per atom
**ΔE_f**: -0.249 eV per atom
**Total energy**: -5.7133 eV/atom

=====

Here is ErTmMgOs after structural relaxation from the Alexandria database. Energies are from PBE.

```
16
Lattice="6.989 0.000 0.000 0.000 6.989 0.000 0.000 0.000 6.989" Properties=species:S:1:pos:R:3 pbc="T T T"
Er 0.000 0.000 0.000
Er 0.000 3.495 3.495
Er 3.495 0.000 3.495
Er 3.495 3.495 0.000
Tm 0.000 0.000 3.495
Tm 0.000 3.495 0.000
Tm 3.495 0.000 0.000
Tm 3.495 3.495 3.495
Mg 1.747 1.747 1.747
Mg 1.747 5.242 5.242
Mg 5.242 1.747 5.242
Mg 5.242 5.242 1.747
Os 1.747 1.747 5.242
Os 1.747 5.242 1.747
Os 5.242 1.747 1.747
Os 5.242 5.242 5.242
```

Summary:
**SG**: No. 216
**Offset from the most stable computed form**: 0.062 eV per atom
**ΔE_f**: -0.187 eV per atom
**Total energy**: -5.6517 eV/atom

=====

Here is YErMgOs after structural relaxation from the Alexandria database. Energies are from PBE.

```
16
Lattice="7.045 0.000 0.000 0.000 7.045 0.000 0.000 0.000 7.045" Properties=species:S:1:pos:R:3 pbc="T T T"
Y 0.000 0.000 0.000
Y 0.000 3.523 3.523
Y 3.523 0.000 3.523
Y 3.523 3.523 0.000
Er 0.000 0.000 3.523
Er 0.000 3.523 0.000
Er 3.523 0.000 0.000
Er 3.523 3.523 3.523
Mg 1.761 1.761 5.284
Mg 1.761 5.284 1.761
Mg 5.284 1.761 1.761
Mg 5.284 5.284 5.284
Os 1.761 1.761 1.761
Os 1.761 5.284 5.284
Os 5.284 1.761 5.284
Os 5.284 5.284 1.761
```

Summary:
**SG**: No. 216
**Offset from the most stable computed form**: 0.055 eV per atom
**ΔE_f**: -0.155 eV per atom
**Total energy**: -6.1179 eV/atom

=====

Here is YErMgOs after structural relaxation from the Alexandria database. Energies are from PBE.

```
4
Lattice="3.436 0.000 0.000 0.000 3.436 0.000 0.000 0.000 8.084" Properties=species:S:1:pos:R:3 pbc="T T T"
Y 0.000 0.000 0.000
Er 0.000 0.000 4.803
Mg 1.718 1.718 2.425
Os 1.718 1.718 6.407
```

Summary:
**SG**: No. 99
**Offset from the most stable computed form**: 0.000 eV per atom
**ΔE_f**: -0.210 eV per atom
**Total energy**: -6.1729 eV/atom

=====

Here is ErMgZrOs after structural relaxation from the Alexandria database. Energies are from PBE.

```
16
Lattice="6.871 0.000 0.000 0.000 6.871 0.000 0.000 0.000 6.871" Properties=species:S:1:pos:R:3 pbc="T T T"
Er 0.000 0.000 0.000
Er 0.000 3.435 3.435
Er 3.435 0.000 3.435
Er 3.435 3.435 0.000
Mg 1.718 1.718 1.718
Mg 1.718 5.153 5.153
Mg 5.153 1.718 5.153
Mg 5.153 5.153 1.718
Zr 0.000 0.000 3.435
Zr 0.000 3.435 0.000
Zr 3.435 0.000 0.000
Zr 3.435 3.435 3.435
Os 1.718 1.718 5.153
Os 1.718 5.153 1.718
Os 5.153 1.718 1.718
Os 5.153 5.153 5.153
```

Summary:
**SG**: No. 216
**ΔE_f**: -0.181 eV per atom
**Total energy**: -6.6649 eV/atom